1.
Entry from the Alexandria database: BaBiIr after structural relaxation (GGA-PBE).

The structure in extended XYZ format:
```
6
Lattice="6.0120 0.0000 0.0000 0.0000 4.3983 0.0000 -2.3808 0.0000 7.6049" Properties=species:S:1:pos:R:3 pbc="T T T"
Ba 0.6940 1.0996 1.8031
Ba 2.9372 3.2987 5.8019
Bi -0.1177 1.0996 5.4108
Bi 3.7489 3.2987 2.1941
Ir 0.1178 3.2987 7.2248
Ir 3.5135 1.0996 0.3801
```

Computed properties:
- raw total energy (eV for the cell shown) = -31.6
- SG = P2_1/m, No. 11
- energy of formation from the pure elements (eV/atom) = -0.377

---

2.
Entry from the Alexandria database: Rb4SbTe5 after structural relaxation (GGA-PBE).

The structure in extended XYZ format:
```
10
Lattice="-5.7441 5.7441 3.7240 5.7441 -5.7441 3.7240 5.7441 5.7441 -3.7240" Properties=species:S:1:pos:R:3 pbc="T T T"
Rb 3.3752 1.1227 0.0000
Rb 4.6213 -2.3689 3.7240
Rb 1.1227 8.1129 0.0000
Rb 2.3689 4.6213 3.7240
Sb 0.0000 0.0000 4.3879
Te 6.5664 3.0615 -0.0089
Te 3.0615 4.9217 -0.0089
Te 2.6826 0.8223 3.7151
Te -0.8223 2.6826 3.7151
Te 0.0000 0.0000 7.1381
```

Computed properties:
- raw total energy (eV for the cell shown) = -29.2
- raw formation energy (kJ/mol of formula units) = -529
- SG = I4, No. 79

---

3.
Entry from the Alexandria database: InTeSe2 after structural relaxation (GGA-PBE).

The structure in extended XYZ format:
```
4
Lattice="6.4210 -2.0910 0.0000 6.4210 2.0910 0.0000 -1.3514 0.0000 3.9593" Properties=species:S:1:pos:R:3 pbc="T T T"
In 0.0000 0.0000 0.0000
Te 8.5978 0.0000 2.9545
Se 2.7082 0.0000 0.9245
Se 5.7987 0.0000 1.9963
```

Computed properties:
- raw total energy (eV for the cell shown) = -13.4
- raw formation energy (kJ/mol of formula units) = -58
- offset from the most stable computed form (meV/atom) = 68
- SG = Cm, No. 8

---

4.
Entry from the Alexandria database: TaTlSb after structural relaxation (GGA-PBE).

The structure in extended XYZ format:
```
3
Lattice="-1.5248 1.5248 8.3188 1.5248 -1.5248 8.3188 1.5248 1.5248 -8.3188" Properties=species:S:1:pos:R:3 pbc="T T T"
Ta 0.0000 0.0000 0.0000
Tl 0.0000 0.0000 10.7776
Sb 0.0000 0.0000 6.1865
```

Computed properties:
- raw total energy (eV for the cell shown) = -17.1
- raw formation energy (kJ/mol of formula units) = 118
- offset from the most stable computed form (meV/atom) = 67
- SG = I4mm, No. 107

---

5.
Entry from the Alexandria database: NaSn3I after structural relaxation (GGA-PBE).

The structure in extended XYZ format:
```
5
Lattice="5.9455 0.0000 0.0000 0.0000 5.9455 0.0000 0.0000 0.0000 5.9455" Properties=species:S:1:pos:R:3 pbc="T T T"
Na 0.0000 0.0000 0.0000
Sn 0.0000 2.9727 2.9727
Sn 2.9727 0.0000 2.9727
Sn 2.9727 2.9727 0.0000
I 2.9727 2.9727 2.9727
```

Computed properties:
- raw total energy (eV for the cell shown) = -12.0
- raw formation energy (kJ/mol of formula units) = 278
- offset from the most stable computed form (meV/atom) = 10
- SG = Pm-3m, No. 221

---

6.
Entry from the Alexandria database: Ho5ZnPb4 after structural relaxation (GGA-PBE).

The structure in extended XYZ format:
```
10
Lattice="-4.8511 4.8511 3.1368 4.8511 -4.8511 3.1368 4.8511 4.8511 -3.1368" Properties=species:S:1:pos:R:3 pbc="T T T"
Ho 0.0000 0.0000 0.0000
Ho 5.7481 1.8804 -1.0809
Ho 1.8804 3.9541 -1.0809
Ho 2.9707 0.8970 2.0559
Ho -0.8970 2.9707 2.0559
Zn 0.0000 0.0000 3.1196
Pb 3.8734 -2.0952 2.0264
Pb 5.8288 2.0952 2.0264
Pb 2.0952 3.8734 2.0264
Pb -2.0952 5.8288 2.0264
```

Computed properties:
- raw total energy (eV for the cell shown) = -41.6
- SG = I4, No. 79
- energy of formation from the pure elements (eV/atom) = -0.258